# 1
Below is crystalline Y2AlNiC at its relaxed geometry, with properties calculated at the GGA-PBE level.

The space group is P4/mmm (No. 123) and the conventional cell measures 5.0178, 5.0178 and 3.7114 Å, with angles of 90.00, 90.00 and 90.00 degrees. The inequivalent atoms are Y at (0.0000, 0.5000, 0.0000), Al at (0.0000, 0.0000, 0.5000), Ni at (0.5000, 0.5000, 0.5000) and C at (0.5000, 0.5000, 0.0000).

The value obtained for the density of states at the Fermi level is 5.49 states/eV per cell. Its crystal system is tetragonal. The total magnetic moment is 0.0000 μB per atom. As for the formation energy: -0.2943 eV per atom.

---

# 2
Below is crystalline Rb4PdI2 at its relaxed geometry, with properties calculated at the GGA-PBE level.

The space group is I4/mmm (No. 139) and the conventional cell measures 6.3391, 6.3391 and 19.2264 Å, with angles of 90.00, 90.00 and 90.00 degrees. The inequivalent atoms are Rb at (0.0000, 0.0000, 0.1696), Rb at (0.0000, 0.5000, 0.0000), Pd at (0.0000, 0.0000, 0.0000) and I at (0.0000, 0.0000, 0.3587).

The value obtained for the density of states at the Fermi level is 0.03 states/eV per cell. Its crystal system is tetragonal. The value obtained for the formation energy without anion corrections is -0.738 eV/atom. The total magnetic moment is 0.0000 μB per atom.

---

# 3
Below is crystalline PmSc3H at its relaxed geometry, with properties calculated at the GGA-PBE level.

The space group is Pm-3m (No. 221) and the conventional cell measures 4.7016, 4.7016 and 4.7016 Å, with angles of 90.00, 90.00 and 90.00 degrees. The inequivalent atoms are Pm at (0.0000, 0.0000, 0.0000), Sc at (0.0000, 0.5000, 0.5000) and H at (0.5000, 0.5000, 0.5000).

The value obtained for the density of states at the Fermi level is 4.33 states/eV per cell. Its crystal system is cubic. The value obtained for the total DFT energy (no corrections) is -5.538 eV/atom. The total magnetic moment is 0.0000 μB per atom.